Material: La3YHo3Se8
Method: DFT, PBE-GGA
State: optimized geometry

Symmetry: R-3m, No. 166
Total moment, μB/cell: 0.0
E_tot, eV per atom: -6.10

Cell: 8.259 8.260 8.409 Å, 119.42 90.00 120.00°
Fractional positions:
Ho  0.500  0.000  0.500
Ho  0.500  0.500  0.500
La  0.500  0.500  0.000
La  0.000  0.500  0.000
Se  0.738  0.987  0.735
Se  0.262  0.013  0.265
Se  0.248  0.987  0.735
Se  0.257  0.513  0.270
Ho  0.000  0.500  0.500
Se  0.248  0.497  0.735
Se  0.752  0.013  0.265
Se  0.743  0.487  0.730
La  0.000  0.000  0.000
Y  0.000  0.000  0.500
Se  0.752  0.503  0.265

---

Material: TaTc
Method: DFT, PBE-GGA
State: optimized geometry

Symmetry: F-43m, No. 216
Total moment, μB/cell: 0.0
Formation energy, eV/atom: 1.751

Cell: 4.071 4.071 4.071 Å, 60.00 60.00 60.00°
Fractional positions:
Tc  0.250  0.250  0.250
Ta  0.000  0.000  0.000

---

Material: Sm7Tm3Th
Method: DFT, PBE-GGA
State: optimized geometry

Polymorph energy (0 for the lowest one), meV/atom: 0.0
Symmetry: P3m1, No. 156
Total moment, μB/cell: 0.0
Formation energy, eV/atom: 0.195

Cell: 8.630 7.143 7.143 Å, 120.00 90.00 90.00°
Fractional positions:
Sm  0.116  0.660  0.830
Tm  0.780  0.004  0.502
Tm  0.780  0.498  0.996
Sm  0.116  0.170  0.830
Sm  0.116  0.170  0.340
Sm  0.454  0.832  0.168
Tm  0.780  0.498  0.502
Sm  0.454  0.832  0.664
Sm  0.454  0.336  0.168
Sm  0.114  0.667  0.333
Th  0.451  0.333  0.667

---

Material: Pr2YGa3
Method: DFT, PBE-GGA
State: optimized geometry

Symmetry: P-3m1, No. 164
Total moment, μB/cell: 0.0
Formation energy, eV/atom: -0.560

Cell: 5.194 5.194 12.790 Å, 90.00 90.00 120.00°
Fractional positions:
Pr  0.667  0.333  0.829
Ga  0.333  0.667  0.419
Ga  0.000  0.000  0.254
Y  0.667  0.333  0.334
Ga  0.667  0.333  0.085
Ga  0.667  0.333  0.581
Pr  0.000  0.000  0.500
Y  0.333  0.667  0.666
Ga  0.000  0.000  0.746
Pr  0.333  0.667  0.171
Pr  0.000  0.000  0.000
Ga  0.333  0.667  0.915

---

Material: LiLa3Sm4Te8
Method: DFT, PBE-GGA
State: optimized geometry

Symmetry: R-3m, No. 166
Total moment, μB/cell: 0.0
E_tot, eV per atom: -5.24

Cell: 8.969 8.989 8.969 Å, 119.92 120.00 90.00°
Fractional positions:
Te  0.755  0.249  0.510
Sm  0.000  0.000  0.500
Te  0.245  0.751  0.490
Sm  0.500  0.000  0.500
Sm  0.500  0.000  0.000
Te  0.761  0.751  0.006
Sm  0.000  0.000  0.000
La  0.500  0.500  0.500
La  0.000  0.500  0.500
Te  0.245  0.751  0.006
Te  0.753  0.759  0.506
Te  0.755  0.249  0.994
Te  0.239  0.249  0.994
Li  0.000  0.500  0.000
Te  0.247  0.241  0.494
La  0.500  0.500  0.000

---

Material: SmThCd4
Method: DFT, PBE-GGA
State: optimized geometry

Polymorph energy (0 for the lowest one), meV/atom: 55.5
Symmetry: F-43m, No. 216
Total moment, μB/cell: 0.0
Formation energy, eV/atom: -0.197

Cell: 5.977 5.977 5.977 Å, 60.00 60.00 60.00°
Fractional positions:
Cd  0.625  0.625  0.625
Sm  0.250  0.250  0.250
Cd  0.126  0.625  0.625
Cd  0.625  0.126  0.625
Cd  0.625  0.625  0.126
Th  0.000  0.000  0.000

---

Material: Na2LiTbF6
Method: DFT, PBE-GGA
State: optimized geometry

Symmetry: P2_1/c, No. 14
Total moment, μB/cell: 0.4
E_tot, eV per atom: -5.34

Cell: 5.572 5.716 8.593 Å, 90.00 85.81 90.00°
Fractional positions:
Li  0.500  0.000  0.000
F  0.853  0.569  0.241
F  0.787  0.795  0.920
Tb  0.000  0.500  0.000
Na  0.959  0.056  0.740
Na  0.459  0.444  0.240
F  0.805  0.784  0.564
F  0.353  0.931  0.741
F  0.695  0.284  0.936
Tb  0.500  0.000  0.500
F  0.287  0.705  0.420
F  0.147  0.431  0.759
F  0.713  0.295  0.580
F  0.305  0.716  0.064
Na  0.041  0.944  0.260
F  0.647  0.069  0.259
Li  0.000  0.500  0.500
Na  0.541  0.556  0.760
F  0.195  0.216  0.436
F  0.213  0.205  0.080

---

Material: TaCdO2F
Method: DFT, PBE-GGA
State: optimized geometry

Symmetry: P4/mmm, No. 123
Total moment, μB/cell: 2.2
E_tot, eV per atom: -4.93

Cell: 4.256 4.256 4.110 Å, 90.00 90.00 90.00°
Fractional positions:
O  0.000  0.500  0.000
Cd  0.000  0.000  0.000
O  0.500  0.000  0.000
Ta  0.500  0.500  0.500
F  0.000  0.000  0.500